1.
A plane-wave DFT calculation with GGA-PBE was carried out for crystalline Li2MoH6 at its relaxed geometry.

```
data_Li2MoH6
_chemical_formula_sum 'Li4 Mo2 H12'
_cell_length_a 10.0157
_cell_length_b 4.6176
_cell_length_c 2.9080
_cell_angle_alpha 90.00
_cell_angle_beta 106.66
_cell_angle_gamma 90.00
_space_group_name_H-M_alt 'C 1 2/m 1'
_space_group_IT_number 12
loop_
_space_group_symop_operation_xyz
'x,y,z'
'-x,-y,-z'
'-x,y,-z'
'x,-y,z'
'x+1/2,y+1/2,z'
'-x+1/2,-y+1/2,-z'
'-x+1/2,y+1/2,-z'
'x+1/2,-y+1/2,z'
loop_
_atom_site_label
_atom_site_fract_x
_atom_site_fract_y
_atom_site_fract_z
Li1 0.1733 0.0000 0.1730
Mo1 0.0000 0.5000 0.5000
H1 0.0000 0.2522 0.0000
H2 0.1546 0.2722 0.6530
```

**Calculated total energy**: -35.7 eV per formula unit
**Fermi-level density of states**: 3.8 states/eV per cell

2.
A plane-wave DFT calculation with GGA-PBE was carried out for crystalline LiMo2H8 at its relaxed geometry.

```
data_LiMo2H8
_chemical_formula_sum 'Li2 Mo4 H16'
_cell_length_a 8.4495
_cell_length_b 5.3815
_cell_length_c 3.5783
_cell_angle_alpha 90.00
_cell_angle_beta 92.04
_cell_angle_gamma 90.00
_space_group_name_H-M_alt 'C 1 2/m 1'
_space_group_IT_number 12
loop_
_space_group_symop_operation_xyz
'x,y,z'
'-x,-y,-z'
'-x,y,-z'
'x,-y,z'
'x+1/2,y+1/2,z'
'-x+1/2,-y+1/2,-z'
'-x+1/2,y+1/2,-z'
'x+1/2,-y+1/2,z'
loop_
_atom_site_label
_atom_site_fract_x
_atom_site_fract_y
_atom_site_fract_z
Li1 0.0000 0.0000 0.0000
Mo1 0.1854 0.5000 0.5060
H1 0.0056 0.5000 0.7653
H2 0.1283 0.1722 0.4517
H3 0.2325 0.5000 0.0067
```

**Calculated total energy**: -49.4 eV per formula unit
**Fermi-level density of states**: 7.5 states/eV per cell

3.
A plane-wave DFT calculation with GGA-PBE was carried out for crystalline Na2LiMoH6 at its relaxed geometry.

```
data_Na2LiMoH6
_chemical_formula_sum 'Na8 Li4 Mo4 H24'
_cell_length_a 7.5619
_cell_length_b 7.5619
_cell_length_c 7.5619
_cell_angle_alpha 90.00
_cell_angle_beta 90.00
_cell_angle_gamma 90.00
_space_group_name_H-M_alt 'F m -3 m'
_space_group_IT_number 225
_space_group_name_Hall '-F 4 2 3'
loop_
_atom_site_label
_atom_site_fract_x
_atom_site_fract_y
_atom_site_fract_z
Na1 0.2500 0.2500 0.2500
Li1 0.0000 0.0000 0.0000
Mo1 0.0000 0.0000 0.5000
H1 0.0000 0.0000 0.2566
```

**Calculated total energy**: -36.2 eV per formula unit